No. 1
Computed, not measured: an optimized crystal structure of AlZnRe at the PBE level of DFT. Values from VASP.

```
&SYSTEM
  ibrav = 0, nat = 3, ntyp = 3
/
ATOMIC_SPECIES
Re 186.21 Re.upf
Al 26.98 Al.upf
Zn 65.41 Zn.upf
ATOMIC_POSITIONS angstrom
Re 0.0402 -7.7809 0.5296
Al 0.0268 -5.1873 0.3530
Zn 0.0000 0.0000 0.0000
CELL_PARAMETERS angstrom
-2.3956 -3.4416 0.6621
0.8549 -3.6103 -2.0633
1.5943 -3.3226 2.1072
```

## Properties
As for the space group: F-43m (216). The value obtained for the electronic total energy is -5.177 eV per atom. The value obtained for the energy relative to the elements is 0.644 eV per atom. Its calculated volume is 18.0 Å³ per atom. Its offset from the most stable computed form is 638.7 meV/atom.


No. 2
Computed, not measured: an optimized crystal structure of TaNiPb4 at the PBE level of DFT. Values from VASP.

```
&SYSTEM
  ibrav = 0, nat = 6, ntyp = 3
/
ATOMIC_SPECIES
Ni 58.69 Ni.upf
Ta 180.95 Ta.upf
Pb 207.20 Pb.upf
ATOMIC_POSITIONS angstrom
Ni 0.0000 0.0000 0.0000
Ta 6.5773 6.5773 6.5773
Pb 5.4805 3.2893 5.4805
Pb 5.4805 5.4805 3.2893
Pb 3.2893 3.2893 3.2893
Pb 3.2893 5.4805 5.4805
CELL_PARAMETERS angstrom
0.0000 4.3849 4.3849
4.3849 0.0000 4.3849
4.3849 4.3849 0.0000
```

## Properties
As for the space group: F-43m (216). The value obtained for the electronic total energy is -4.184 eV per atom. The value obtained for the energy relative to the elements is 1.227 eV per atom. Its calculated volume is 28.1 Å³ per atom.


No. 3
Computed, not measured: an optimized crystal structure of LaMoOs at the PBE level of DFT. Values from VASP.

```
&SYSTEM
  ibrav = 0, nat = 3, ntyp = 3
/
ATOMIC_SPECIES
Os 190.23 Os.upf
Mo 95.94 Mo.upf
La 138.91 La.upf
ATOMIC_POSITIONS angstrom
Os 0.0000 2.6920 1.9923
Mo 2.3313 1.3460 0.9947
La 0.0000 0.0000 0.0444
CELL_PARAMETERS angstrom
4.6626 0.0000 0.0000
-2.3313 4.0380 0.0000
0.0000 0.0000 3.0314
```

## Properties
As for the space group: P3m1 (156). The value obtained for the electronic total energy is -8.369 eV per atom. The value obtained for the energy relative to the elements is 0.627 eV per atom. Its calculated volume is 19.0 Å³ per atom. Its offset from the most stable computed form is 414.5 meV/atom.


No. 4
Computed, not measured: an optimized crystal structure of ErMgSnPb at the PBE level of DFT. Values from VASP.

```
&SYSTEM
  ibrav = 0, nat = 4, ntyp = 4
/
ATOMIC_SPECIES
Pb 207.20 Pb.upf
Er 167.26 Er.upf
Sn 118.71 Sn.upf
Mg 24.30 Mg.upf
ATOMIC_POSITIONS angstrom
Pb 7.9507 4.5903 3.2458
Er 5.3004 3.0602 2.1639
Sn 2.6502 1.5301 1.0819
Mg 0.0000 0.0000 0.0000
CELL_PARAMETERS angstrom
5.3004 0.0000 0.0000
2.6502 4.5903 0.0000
2.6502 1.5301 4.3278
```

## Properties
As for the space group: F-43m (216). The value obtained for the electronic total energy is -3.701 eV per atom. The value obtained for the energy relative to the elements is -0.234 eV per atom. Its calculated volume is 26.3 Å³ per atom. Its offset from the most stable computed form is 133.8 meV/atom.


No. 5
Computed, not measured: an optimized crystal structure of KTl4Os at the PBE level of DFT. Values from VASP.

```
&SYSTEM
  ibrav = 0, nat = 6, ntyp = 3
/
ATOMIC_SPECIES
Tl 204.38 Tl.upf
K 39.10 K.upf
Os 190.23 Os.upf
ATOMIC_POSITIONS angstrom
Tl 5.5216 3.2980 5.5216
K 6.6147 6.6147 6.6147
Tl 3.2980 5.5216 5.5216
Tl 3.2980 3.2980 3.2980
Tl 5.5216 5.5216 3.2980
Os 0.0000 0.0000 0.0000
CELL_PARAMETERS angstrom
0.0000 4.4098 4.4098
4.4098 0.0000 4.4098
4.4098 4.4098 0.0000
```

## Properties
As for the space group: F-43m (216). The value obtained for the electronic total energy is -2.734 eV per atom. The value obtained for the energy relative to the elements is 0.898 eV per atom. Its calculated volume is 28.6 Å³ per atom.


No. 6
Computed, not measured: an optimized crystal structure of Pr4Dy3ErSe8 at the PBE level of DFT. Values from VASP.

```
&SYSTEM
  ibrav = 0, nat = 16, ntyp = 4
/
ATOMIC_SPECIES
Pr 140.91 Pr.upf
Se 78.96 Se.upf
Dy 162.50 Dy.upf
Er 167.26 Er.upf
ATOMIC_POSITIONS angstrom
Pr -2.3275 0.3277 3.3723
Se 4.1614 1.0592 2.7691
Se 0.5334 -0.6032 2.9175
Pr 0.7041 3.3056 -2.3406
Dy 0.8261 -1.2510 5.7023
Se -1.8075 -0.2736 6.3094
Se -1.1011 3.0501 3.9542
Se 4.8679 4.3828 0.4140
Er 3.1536 -1.5787 2.3299
Dy 1.5302 2.0546 3.3617
Se 2.5270 4.7125 3.8058
Pr 0.0000 0.0000 0.0000
Se 1.2225 2.7064 0.5807
Dy 3.8576 1.7269 -0.0107
Se 1.8379 1.4029 6.1426
Pr -1.6234 3.6334 1.0317
CELL_PARAMETERS angstrom
-4.6549 0.6555 6.7447
6.3072 -3.1574 4.6598
1.4081 6.6112 -4.6812
```

## Properties
As for the space group: R-3m (166). The value obtained for the electronic total energy is -5.880 eV per atom. Its calculated volume is 25.6 Å³ per atom. As for the formation energy (no corrections): -1.795 eV/atom.


No. 7
Computed, not measured: an optimized crystal structure of Li2AlGa at the PBE level of DFT. Values from VASP.

```
&SYSTEM
  ibrav = 0, nat = 4, ntyp = 3
/
ATOMIC_SPECIES
Ga 69.72 Ga.upf
Li 6.94 Li.upf
Al 26.98 Al.upf
ATOMIC_POSITIONS angstrom
Ga 1.3780 1.3780 0.0000
Li 0.0000 0.0000 6.3815
Li 0.0000 0.0000 2.0871
Al 1.3780 1.3780 4.2343
CELL_PARAMETERS angstrom
2.7560 0.0000 0.0000
0.0000 2.7560 0.0000
0.0000 0.0000 8.4686
```

## Properties
As for the space group: P4/mmm (123). The value obtained for the electronic total energy is -2.839 eV per atom. The value obtained for the energy relative to the elements is -0.190 eV per atom. Its calculated volume is 16.1 Å³ per atom.


No. 8
Computed, not measured: an optimized crystal structure of LiSiSe at the PBE level of DFT. Values from VASP.

```
&SYSTEM
  ibrav = 0, nat = 3, ntyp = 3
/
ATOMIC_SPECIES
Si 28.09 Si.upf
Li 6.94 Li.upf
Se 78.96 Se.upf
ATOMIC_POSITIONS angstrom
Si 0.0000 0.0000 0.0000
Li 4.5257 2.6129 1.8476
Se 2.2628 1.3064 0.9238
CELL_PARAMETERS angstrom
4.5257 0.0000 0.0000
2.2628 3.9193 0.0000
2.2628 1.3064 3.6952
```

## Properties
As for the space group: F-43m (216). The value obtained for the electronic total energy is -3.566 eV per atom. Its calculated volume is 21.8 Å³ per atom. As for the formation energy (no corrections): 0.041 eV/atom. Its offset from the most stable computed form is 215.3 meV/atom.


Q: Which value of calculated volume does entry 7 give?
A: 16.1 Å³ per atom